No. 1
{
  "formula": "TbErBPb",
  "functional": "PBE",
  "state": "optimized geometry",
  "e_tot_ev_per_cell": -40.8,
  "spacegroup": "No. 164",
  "m_tot_mub_per_cell": 0.221,
  "lattice_angstrom": [[3.6816, 0.0000, 0.0000], [-1.8408, 3.1884, 0.0000], [0.0000, 0.0000, 16.6902]],
  "species": ["Tb", "Tb", "Er", "Er", "B", "B", "Pb", "Pb"],
  "fractional_positions": [[0.3333, 0.6667, 0.0916], [0.6667, 0.3333, 0.9084], [0.3333, 0.6667, 0.4129], [0.6667, 0.3333, 0.5871], [0.0000, 0.0000, 0.0000], [0.0000, 0.0000, 0.5000], [0.3333, 0.6667, 0.7470], [0.6667, 0.3333, 0.2530]]
}

No. 2
{
  "formula": "Tb3ErB2Pb2",
  "functional": "PBE",
  "state": "optimized geometry",
  "e_tot_ev_per_cell": -40.8,
  "spacegroup": "No. 156",
  "m_tot_mub_per_cell": 0.608,
  "lattice_angstrom": [[3.7039, 0.0000, 0.0000], [-1.8520, 3.2077, 0.0000], [0.0000, 0.0000, 16.7477]],
  "species": ["Tb", "Tb", "Tb", "Er", "B", "B", "Pb", "Pb"],
  "fractional_positions": [[0.0000, 0.0000, 0.0000], [0.0000, 0.0000, 0.3223], [0.3333, 0.6667, 0.5030], [0.3333, 0.6667, 0.8236], [0.6667, 0.3333, 0.4127], [0.6667, 0.3333, 0.9105], [0.0000, 0.0000, 0.6644], [0.3333, 0.6667, 0.1616]]
}

No. 3
{
  "formula": "TbErBPb",
  "functional": "PBE",
  "state": "optimized geometry",
  "e_tot_ev_per_cell": -40.8,
  "spacegroup": "No. 187",
  "m_tot_mub_per_cell": 0.112,
  "lattice_angstrom": [[3.6902, 0.0000, 0.0000], [-1.8451, 3.1958, 0.0000], [0.0000, 0.0000, 16.6756]],
  "species": ["Tb", "Tb", "Er", "Er", "B", "B", "Pb", "Pb"],
  "fractional_positions": [[0.0000, 0.0000, 0.1623], [0.0000, 0.0000, 0.8377], [0.3333, 0.6667, 0.3405], [0.3333, 0.6667, 0.6595], [0.6667, 0.3333, 0.2527], [0.6667, 0.3333, 0.7473], [0.0000, 0.0000, 0.5000], [0.3333, 0.6667, 0.0000]]
}

No. 4
{
  "formula": "ErTmBPb",
  "functional": "PBE",
  "state": "optimized geometry",
  "e_tot_ev_per_cell": -40.6,
  "spacegroup": "No. 164",
  "m_tot_mub_per_cell": 0.107,
  "lattice_angstrom": [[3.6513, 0.0000, 0.0000], [-1.8257, 3.1622, 0.0000], [0.0000, 0.0000, 16.5073]],
  "species": ["Er", "Er", "Tm", "Tm", "B", "B", "Pb", "Pb"],
  "fractional_positions": [[0.3333, 0.6667, 0.0893], [0.6667, 0.3333, 0.9107], [0.3333, 0.6667, 0.4120], [0.6667, 0.3333, 0.5880], [0.0000, 0.0000, 0.0000], [0.0000, 0.0000, 0.5000], [0.3333, 0.6667, 0.7491], [0.6667, 0.3333, 0.2509]]
}

No. 5
{
  "formula": "ErTmBPb",
  "functional": "PBE",
  "state": "optimized geometry",
  "e_tot_ev_per_cell": -40.6,
  "spacegroup": "No. 187",
  "m_tot_mub_per_cell": 0.037,
  "lattice_angstrom": [[3.6511, 0.0000, 0.0000], [-1.8255, 3.1619, 0.0000], [0.0000, 0.0000, 16.4881]],
  "species": ["Er", "Er", "Tm", "Tm", "B", "B", "Pb", "Pb"],
  "fractional_positions": [[0.0000, 0.0000, 0.1616], [0.0000, 0.0000, 0.8384], [0.3333, 0.6667, 0.3389], [0.3333, 0.6667, 0.6611], [0.6667, 0.3333, 0.2507], [0.6667, 0.3333, 0.7493], [0.0000, 0.0000, 0.5000], [0.3333, 0.6667, 0.0000]]
}

No. 6
{
  "formula": "Y3ErB2Pb2",
  "functional": "PBE",
  "state": "optimized geometry",
  "e_tot_ev_per_cell": -46.5,
  "spacegroup": "No. 156",
  "m_tot_mub_per_cell": 0.091,
  "lattice_angstrom": [[3.6907, 0.0000, 0.0000], [-1.8454, 3.1962, 0.0000], [0.0000, 0.0000, 16.6579]],
  "species": ["Y", "Y", "Y", "Er", "B", "B", "Pb", "Pb"],
  "fractional_positions": [[0.0000, 0.0000, 0.0000], [0.0000, 0.0000, 0.3209], [0.6667, 0.3333, 0.8188], [0.6667, 0.3333, 0.4984], [0.3333, 0.6667, 0.4111], [0.3333, 0.6667, 0.9094], [0.0000, 0.0000, 0.6581], [0.6667, 0.3333, 0.1603]]
}

No. 7
{
  "formula": "YErBPb",
  "functional": "PBE",
  "state": "optimized geometry",
  "e_tot_ev_per_cell": -44.6,
  "spacegroup": "No. 164",
  "m_tot_mub_per_cell": 0.564,
  "lattice_angstrom": [[3.6833, 0.0000, 0.0000], [-1.8416, 3.1898, 0.0000], [0.0000, 0.0000, 16.6212]],
  "species": ["Y", "Y", "Er", "Er", "B", "B", "Pb", "Pb"],
  "fractional_positions": [[0.3333, 0.6667, 0.4090], [0.6667, 0.3333, 0.5910], [0.3333, 0.6667, 0.0874], [0.6667, 0.3333, 0.9126], [0.0000, 0.0000, 0.0000], [0.0000, 0.0000, 0.5000], [0.3333, 0.6667, 0.7522], [0.6667, 0.3333, 0.2478]]
}

No. 8
{
  "formula": "YErBPb",
  "functional": "PBE",
  "state": "optimized geometry",
  "e_tot_ev_per_cell": -44.6,
  "spacegroup": "No. 187",
  "m_tot_mub_per_cell": 0.033,
  "lattice_angstrom": [[3.6802, 0.0000, 0.0000], [-1.8401, 3.1871, 0.0000], [0.0000, 0.0000, 16.6323]],
  "species": ["Y", "Y", "Er", "Er", "B", "B", "Pb", "Pb"],
  "fractional_positions": [[0.0000, 0.0000, 0.1608], [0.0000, 0.0000, 0.8392], [0.6667, 0.3333, 0.3395], [0.6667, 0.3333, 0.6605], [0.3333, 0.6667, 0.2515], [0.3333, 0.6667, 0.7485], [0.0000, 0.0000, 0.5000], [0.6667, 0.3333, 0.0000]]
}

No. 9
{
  "formula": "ErB2Pd3",
  "functional": "PBE",
  "state": "optimized geometry",
  "e_tot_ev_per_cell": -35.7,
  "spacegroup": "No. 191",
  "m_tot_mub_per_cell": 0.286,
  "lattice_angstrom": [[5.4712, 0.0000, 0.0000], [-2.7356, 4.7382, 0.0000], [0.0000, 0.0000, 3.2280]],
  "species": ["Er", "B", "B", "Pd", "Pd", "Pd"],
  "fractional_positions": [[0.0000, 0.0000, 0.0000], [0.3333, 0.6667, 0.0000], [0.6667, 0.3333, 0.0000], [0.0000, 0.5000, 0.5000], [0.5000, 0.0000, 0.5000], [0.5000, 0.5000, 0.5000]]
}

No. 10
{
  "formula": "ErBPd",
  "functional": "PBE",
  "state": "optimized geometry",
  "e_above_lowest_polymorph_mev_per_atom": 381,
  "spacegroup": "No. 216",
  "m_tot_mub_per_cell": 0.702,
  "lattice_angstrom": [[0.0000, 3.0319, 3.0319], [3.0319, 0.0000, 3.0319], [3.0319, 3.0319, 0.0000]],
  "species": ["Er", "B", "Pd"],
  "fractional_positions": [[0.0000, 0.0000, 0.0000], [0.5000, 0.5000, 0.5000], [0.7500, 0.7500, 0.7500]]
}

No. 11
{
  "formula": "ErB4Pd",
  "functional": "PBE",
  "state": "optimized geometry",
  "e_above_lowest_polymorph_mev_per_atom": 24,
  "spacegroup": "No. 191",
  "m_tot_mub_per_cell": 0.003,
  "lattice_angstrom": [[3.2054, 0.0000, 0.0000], [-1.6027, 2.7760, 0.0000], [0.0000, 0.0000, 6.8939]],
  "species": ["Er", "B", "B", "B", "B", "Pd"],
  "fractional_positions": [[0.0000, 0.0000, 0.0000], [0.3333, 0.6667, 0.2654], [0.3333, 0.6667, 0.7346], [0.6667, 0.3333, 0.2654], [0.6667, 0.3333, 0.7346], [0.0000, 0.0000, 0.5000]]
}

No. 12
{
  "formula": "ErB4Pd",
  "functional": "PBE",
  "state": "optimized geometry",
  "e_above_lowest_polymorph_mev_per_atom": 0,
  "spacegroup": "No. 71",
  "m_tot_mub_per_cell": 0.000,
  "lattice_angstrom": [[-1.5752, 2.6588, 3.7858], [1.5752, -2.6588, 3.7858], [1.5752, 2.6588, -3.7858]],
  "species": ["Er", "B", "B", "B", "B", "Pd"],
  "fractional_positions": [[0.0000, 0.0000, 0.0000], [0.0661, 0.7420, 0.3241], [0.4178, 0.7420, 0.6759], [0.5822, 0.2580, 0.3241], [0.9339, 0.2580, 0.6759], [0.5000, 0.5000, 0.0000]]
}

No. 13
{
  "formula": "ErBPd",
  "functional": "PBE",
  "state": "optimized geometry",
  "e_above_lowest_polymorph_mev_per_atom": 0,
  "spacegroup": "No. 216",
  "m_tot_mub_per_cell": 0.061,
  "lattice_angstrom": [[0.0000, 2.9352, 2.9352], [2.9352, 0.0000, 2.9352], [2.9352, 2.9352, 0.0000]],
  "species": ["Er", "B", "Pd"],
  "fractional_positions": [[0.0000, 0.0000, 0.0000], [0.2500, 0.2500, 0.2500], [0.5000, 0.5000, 0.5000]]
}

No. 14
{
  "formula": "ErBPd",
  "functional": "PBE",
  "state": "optimized geometry",
  "e_above_lowest_polymorph_mev_per_atom": 748,
  "spacegroup": "No. 216",
  "m_tot_mub_per_cell": 0.002,
  "lattice_angstrom": [[0.0000, 3.1001, 3.1001], [3.1001, 0.0000, 3.1001], [3.1001, 3.1001, 0.0000]],
  "species": ["Er", "B", "Pd"],
  "fractional_positions": [[0.0000, 0.0000, 0.0000], [0.7500, 0.7500, 0.7500], [0.2500, 0.2500, 0.2500]]
}

No. 15
{
  "formula": "PrErB",
  "functional": "PBE",
  "state": "optimized geometry",
  "e_above_lowest_polymorph_mev_per_atom": 0,
  "spacegroup": "No. 216",
  "m_tot_mub_per_cell": 0.047,
  "lattice_angstrom": [[0.0000, 3.2589, 3.2589], [3.2589, 0.0000, 3.2589], [3.2589, 3.2589, 0.0000]],
  "species": ["Pr", "Er", "B"],
  "fractional_positions": [[0.0000, 0.0000, 0.0000], [0.5000, 0.5000, 0.5000], [0.7500, 0.7500, 0.7500]]
}

No. 16
{
  "formula": "PrErB4",
  "functional": "PBE",
  "state": "optimized geometry",
  "e_above_lowest_polymorph_mev_per_atom": 0,
  "spacegroup": "No. 191",
  "m_tot_mub_per_cell": 0.003,
  "lattice_angstrom": [[3.3032, 0.0000, 0.0000], [-1.6516, 2.8607, 0.0000], [0.0000, 0.0000, 8.0249]],
  "species": ["Pr", "Er", "B", "B", "B", "B"],
  "fractional_positions": [[0.0000, 0.0000, 0.0000], [0.0000, 0.0000, 0.5000], [0.3333, 0.6667, 0.2669], [0.3333, 0.6667, 0.7331], [0.6667, 0.3333, 0.2669], [0.6667, 0.3333, 0.7331]]
}

No. 17
{
  "formula": "PrErB4",
  "functional": "PBE",
  "state": "optimized geometry",
  "e_above_lowest_polymorph_mev_per_atom": 45,
  "spacegroup": "No. 71",
  "m_tot_mub_per_cell": 0.002,
  "lattice_angstrom": [[-1.6548, 2.8732, 4.0094], [1.6548, -2.8732, 4.0094], [1.6548, 2.8732, -4.0094]],
  "species": ["Pr", "Er", "B", "B", "B", "B"],
  "fractional_positions": [[0.0000, 0.0000, 0.0000], [0.5000, 0.5000, 0.0000], [0.0863, 0.7527, 0.3337], [0.4190, 0.7527, 0.6663], [0.5810, 0.2473, 0.3337], [0.9137, 0.2473, 0.6663]]
}

No. 18
{
  "formula": "ErB4Pt",
  "functional": "PBE",
  "state": "optimized geometry",
  "e_above_lowest_polymorph_mev_per_atom": 27,
  "spacegroup": "No. 191",
  "m_tot_mub_per_cell": 0.000,
  "lattice_angstrom": [[3.2384, 0.0000, 0.0000], [-1.6192, 2.8045, 0.0000], [0.0000, 0.0000, 6.7945]],
  "species": ["Er", "B", "B", "B", "B", "Pt"],
  "fractional_positions": [[0.0000, 0.0000, 0.0000], [0.3333, 0.6667, 0.2676], [0.3333, 0.6667, 0.7324], [0.6667, 0.3333, 0.2676], [0.6667, 0.3333, 0.7324], [0.0000, 0.0000, 0.5000]]
}

No. 19
{
  "formula": "ErBPt",
  "functional": "PBE",
  "state": "optimized geometry",
  "e_above_lowest_polymorph_mev_per_atom": 809,
  "spacegroup": "No. 216",
  "m_tot_mub_per_cell": 0.000,
  "lattice_angstrom": [[0.0000, 3.1173, 3.1173], [3.1173, 0.0000, 3.1173], [3.1173, 3.1173, 0.0000]],
  "species": ["Er", "B", "Pt"],
  "fractional_positions": [[0.0000, 0.0000, 0.0000], [0.7500, 0.7500, 0.7500], [0.2500, 0.2500, 0.2500]]
}

No. 20
{
  "formula": "ErBPt",
  "functional": "PBE",
  "state": "optimized geometry",
  "e_above_lowest_polymorph_mev_per_atom": 391,
  "spacegroup": "No. 216",
  "m_tot_mub_per_cell": 0.561,
  "lattice_angstrom": [[0.0000, 3.0564, 3.0564], [3.0564, 0.0000, 3.0564], [3.0564, 3.0564, 0.0000]],
  "species": ["Er", "B", "Pt"],
  "fractional_positions": [[0.0000, 0.0000, 0.0000], [0.5000, 0.5000, 0.5000], [0.7500, 0.7500, 0.7500]]
}

No. 21
{
  "formula": "ErBPt",
  "functional": "PBE",
  "state": "optimized geometry",
  "e_above_lowest_polymorph_mev_per_atom": 0,
  "spacegroup": "No. 216",
  "m_tot_mub_per_cell": 0.032,
  "lattice_angstrom": [[0.0000, 2.9229, 2.9229], [2.9229, 0.0000, 2.9229], [2.9229, 2.9229, 0.0000]],
  "species": ["Er", "B", "Pt"],
  "fractional_positions": [[0.0000, 0.0000, 0.0000], [0.2500, 0.2500, 0.2500], [0.5000, 0.5000, 0.5000]]
}

No. 22
{
  "formula": "ErB4Pt",
  "functional": "PBE",
  "state": "optimized geometry",
  "e_above_lowest_polymorph_mev_per_atom": 0,
  "spacegroup": "No. 71",
  "m_tot_mub_per_cell": 0.002,
  "lattice_angstrom": [[-1.5808, 2.6277, 3.8319], [1.5808, -2.6277, 3.8319], [1.5808, 2.6277, -3.8319]],
  "species": ["Er", "B", "B", "B", "B", "Pt"],
  "fractional_positions": [[0.0000, 0.0000, 0.0000], [0.0599, 0.7378, 0.3221], [0.4158, 0.7378, 0.6779], [0.5842, 0.2622, 0.3221], [0.9401, 0.2622, 0.6779], [0.5000, 0.5000, 0.0000]]
}

No. 23
{
  "formula": "ErPuB",
  "functional": "PBE",
  "state": "optimized geometry",
  "e_above_lowest_polymorph_mev_per_atom": 0,
  "spacegroup": "No. 216",
  "m_tot_mub_per_cell": 5.901,
  "lattice_angstrom": [[0.0000, 3.1365, 3.1365], [3.1365, 0.0000, 3.1365], [3.1365, 3.1365, 0.0000]],
  "species": ["Er", "Pu", "B"],
  "fractional_positions": [[0.0000, 0.0000, 0.0000], [0.5000, 0.5000, 0.5000], [0.2500, 0.2500, 0.2500]]
}

No. 24
{
  "formula": "RbErB4",
  "functional": "PBE",
  "state": "optimized geometry",
  "e_above_lowest_polymorph_mev_per_atom": 0,
  "spacegroup": "No. 191",
  "m_tot_mub_per_cell": 0.004,
  "lattice_angstrom": [[3.2258, 0.0000, 0.0000], [-1.6129, 2.7936, 0.0000], [0.0000, 0.0000, 9.0218]],
  "species": ["Rb", "Er", "B", "B", "B", "B"],
  "fractional_positions": [[0.0000, 0.0000, 0.0000], [0.0000, 0.0000, 0.5000], [0.3333, 0.6667, 0.2936], [0.3333, 0.6667, 0.7064], [0.6667, 0.3333, 0.2936], [0.6667, 0.3333, 0.7064]]
}

No. 25
{
  "formula": "RbErB4",
  "functional": "PBE",
  "state": "optimized geometry",
  "e_above_lowest_polymorph_mev_per_atom": 173,
  "spacegroup": "No. 71",
  "m_tot_mub_per_cell": 0.002,
  "lattice_angstrom": [[-1.5625, 3.9460, 3.9549], [1.5625, -3.9460, 3.9549], [1.5625, 3.9460, -3.9549]],
  "species": ["Rb", "Er", "B", "B", "B", "B"],
  "fractional_positions": [[0.0000, 0.0000, 0.0000], [0.5000, 0.0000, 0.5000], [0.0210, 0.2641, 0.7569], [0.4928, 0.7359, 0.7569], [0.5072, 0.2641, 0.2431], [0.9790, 0.7359, 0.2431]]
}

No. 26
{
  "formula": "ErReB3",
  "functional": "PBE",
  "state": "optimized geometry",
  "e_tot_ev_per_cell": -79.6,
  "spacegroup": "No. 11",
  "m_tot_mub_per_cell": 0.001,
  "lattice_angstrom": [[5.3494, 0.0000, 0.0000], [0.0000, 3.1350, 0.0000], [-1.4304, 0.0000, 6.5699]],
  "species": ["Er", "Er", "Re", "Re", "B", "B", "B", "B", "B", "B"],
  "fractional_positions": [[0.1725, 0.2500, 0.2056], [0.8275, 0.7500, 0.7944], [0.3150, 0.2500, 0.7258], [0.6850, 0.7500, 0.2742], [0.0829, 0.7500, 0.4896], [0.4083, 0.7500, 0.9778], [0.4098, 0.7500, 0.4935], [0.5902, 0.2500, 0.5065], [0.5917, 0.2500, 0.0222], [0.9171, 0.2500, 0.5104]]
}

No. 27
{
  "formula": "Er3ReB7",
  "functional": "PBE",
  "state": "optimized geometry",
  "e_tot_ev_per_cell": -160.0,
  "spacegroup": "No. 63",
  "m_tot_mub_per_cell": 0.056,
  "lattice_angstrom": [[1.7541, -7.8192, 0.0000], [1.7541, 7.8192, 0.0000], [0.0000, 0.0000, 9.2839]],
  "species": ["Er", "Er", "Er", "Er", "Er", "Er", "Re", "Re", "B", "B", "B", "B", "B", "B", "B", "B", "B", "B", "B", "B", "B", "B"],
  "fractional_positions": [[0.1055, 0.8945, 0.5598], [0.1055, 0.8945, 0.9402], [0.2426, 0.7574, 0.2500], [0.7574, 0.2426, 0.7500], [0.8945, 0.1055, 0.0598], [0.8945, 0.1055, 0.4402], [0.0528, 0.9472, 0.2500], [0.9472, 0.0528, 0.7500], [0.2728, 0.7272, 0.5334], [0.2728, 0.7272, 0.9666], [0.3676, 0.6324, 0.6499], [0.3676, 0.6324, 0.8501], [0.4555, 0.5445, 0.2500], [0.4799, 0.5201, 0.5946], [0.4799, 0.5201, 0.9054], [0.5201, 0.4799, 0.0946], [0.5201, 0.4799, 0.4054], [0.5445, 0.4555, 0.7500], [0.6324, 0.3676, 0.1499], [0.6324, 0.3676, 0.3501], [0.7272, 0.2728, 0.0334], [0.7272, 0.2728, 0.4666]]
}